Density functional theory data (PBE+U) for Ag3MoO after structural relaxation.

## Properties
Magnetization: 6.39 Bohr magnetons per cell
Excess energy over the best structure of this formula in the dataset: 1225.4 meV/atom
ρ: 4.52 g/cm3

Cell and atoms, written as POSCAR:
```
Ag3MoO
1.0
5.429 0.000 0.000
0.000 5.429 0.000
0.000 0.000 5.429
Ag Mo O
3 1 1
direct
0.500 0.000 0.000 Ag
0.000 0.500 0.000 Ag
0.000 0.000 0.500 Ag
0.000 0.000 0.000 Mo
0.500 0.500 0.500 O
```